CsBaZn | PBE-GGA | relaxed

Geometry as CIF:
```
data_CsBaZn
_symmetry_space_group_name_H-M 'I 4 m m'
_symmetry_Int_Tables_number 107
_symmetry_space_group_name_Hall 'I 4 -2'
_cell_length_a 4.3356
_cell_length_b 4.3356
_cell_length_c 16.7399
_cell_angle_alpha 90.00
_cell_angle_beta 90.00
_cell_angle_gamma 90.00
loop_
_atom_site_label
_atom_site_type_symbol
_atom_site_fract_x
_atom_site_fract_y
_atom_site_fract_z
Cs1 Cs 0.0000 0.0000 0.0000
Ba1 Ba 0.0000 0.0000 0.2502
Zn1 Zn 0.0000 0.0000 0.6539
```

# CsBa3Zn (PBE-GGA, relaxed)
# distance to the lowest polymorph of the same formula: 782 meV/atom
data_CsBa3Zn
_symmetry_space_group_name_H-M 'P m -3 m'
_symmetry_Int_Tables_number 221
_symmetry_space_group_name_Hall '-P 4 2 3'
_cell_length_a 6.5840
_cell_length_b 6.5840
_cell_length_c 6.5840
_cell_angle_alpha 90.00
_cell_angle_beta 90.00
_cell_angle_gamma 90.00
loop_
_atom_site_label
_atom_site_type_symbol
_atom_site_fract_x
_atom_site_fract_y
_atom_site_fract_z
Cs1 Cs 0.0000 0.0000 0.0000
Ba1 Ba 0.0000 0.0000 0.5000
Zn1 Zn 0.5000 0.5000 0.5000

CsBa2Zn | PBE-GGA | relaxed

Geometry as CIF:
```
data_CsBa2Zn
_symmetry_space_group_name_H-M 'R -3 m'
_symmetry_Int_Tables_number 166
_symmetry_space_group_name_Hall '-R 3 2"'
_cell_length_a 4.9200
_cell_length_b 4.9200
_cell_length_c 39.9492
_cell_angle_alpha 90.00
_cell_angle_beta 90.00
_cell_angle_gamma 120.00
loop_
_atom_site_label
_atom_site_type_symbol
_atom_site_fract_x
_atom_site_fract_y
_atom_site_fract_z
Cs1 Cs 0.0000 0.0000 0.0000
Ba1 Ba 0.0000 0.0000 0.1207
Zn1 Zn 0.0000 0.0000 0.5000
```

CsBa2Zn | PBE-GGA | relaxed

Geometry as CIF:
```
data_CsBa2Zn
_symmetry_space_group_name_H-M 'P 4/m m m'
_symmetry_Int_Tables_number 123
_symmetry_space_group_name_Hall '-P 4 2'
_cell_length_a 4.2710
_cell_length_b 4.2710
_cell_length_c 11.9744
_cell_angle_alpha 90.00
_cell_angle_beta 90.00
_cell_angle_gamma 90.00
loop_
_atom_site_label
_atom_site_type_symbol
_atom_site_fract_x
_atom_site_fract_y
_atom_site_fract_z
Cs1 Cs 0.0000 0.0000 0.0000
Ba1 Ba 0.5000 0.5000 0.3404
Zn1 Zn 0.0000 0.0000 0.5000
```

# CsBa3Zn (PBE-GGA, relaxed)
# distance to the lowest polymorph of the same formula: 0 meV/atom
data_CsBa3Zn
_symmetry_space_group_name_H-M 'P m -3 m'
_symmetry_Int_Tables_number 221
_symmetry_space_group_name_Hall '-P 4 2 3'
_cell_length_a 6.7967
_cell_length_b 6.7967
_cell_length_c 6.7967
_cell_angle_alpha 90.00
_cell_angle_beta 90.00
_cell_angle_gamma 90.00
loop_
_atom_site_label
_atom_site_type_symbol
_atom_site_fract_x
_atom_site_fract_y
_atom_site_fract_z
Cs1 Cs 0.0000 0.0000 0.0000
Ba1 Ba 0.0000 0.5000 0.5000
Zn1 Zn 0.5000 0.5000 0.5000

CsBa2Zn | PBE-GGA | relaxed

Geometry as CIF:
```
data_CsBa2Zn
_symmetry_space_group_name_H-M 'R 3 m'
_symmetry_Int_Tables_number 160
_symmetry_space_group_name_Hall 'R 3 -2"'
_cell_length_a 5.0080
_cell_length_b 5.0080
_cell_length_c 36.4095
_cell_angle_alpha 90.00
_cell_angle_beta 90.00
_cell_angle_gamma 120.00
loop_
_atom_site_label
_atom_site_type_symbol
_atom_site_fract_x
_atom_site_fract_y
_atom_site_fract_z
Cs1 Cs 0.0000 0.0000 0.0000
Ba1 Ba 0.0000 0.0000 0.5492
Ba2 Ba 0.0000 0.0000 0.7846
Zn1 Zn 0.0000 0.0000 0.1668
```

# Cs2BaZn2 (PBE-GGA, relaxed)
# distance to the lowest polymorph of the same formula: 79 meV/atom
data_Cs2BaZn2
_symmetry_space_group_name_H-M 'I 4/m m m'
_symmetry_Int_Tables_number 139
_symmetry_space_group_name_Hall '-I 4 2'
_cell_length_a 5.4790
_cell_length_b 5.4790
_cell_length_c 15.9887
_cell_angle_alpha 90.00
_cell_angle_beta 90.00
_cell_angle_gamma 90.00
loop_
_atom_site_label
_atom_site_type_symbol
_atom_site_fract_x
_atom_site_fract_y
_atom_site_fract_z
Cs1 Cs 0.0000 0.5000 0.2500
Ba1 Ba 0.0000 0.0000 0.0000
Zn1 Zn 0.0000 0.0000 0.4217

# CsBaZr3 (PBE-GGA, relaxed)
# distance to the lowest polymorph of the same formula: 0 meV/atom
data_CsBaZr3
_symmetry_space_group_name_H-M 'P m -3 m'
_symmetry_Int_Tables_number 221
_symmetry_space_group_name_Hall '-P 4 2 3'
_cell_length_a 5.5003
_cell_length_b 5.5003
_cell_length_c 5.5003
_cell_angle_alpha 90.00
_cell_angle_beta 90.00
_cell_angle_gamma 90.00
loop_
_atom_site_label
_atom_site_type_symbol
_atom_site_fract_x
_atom_site_fract_y
_atom_site_fract_z
Cs1 Cs 0.0000 0.0000 0.0000
Ba1 Ba 0.5000 0.5000 0.5000
Zr1 Zr 0.0000 0.0000 0.5000

CsBaZr2 | PBE-GGA | relaxed

Geometry as CIF:
```
data_CsBaZr2
_symmetry_space_group_name_H-M 'I -4 2 d'
_symmetry_Int_Tables_number 122
_symmetry_space_group_name_Hall 'I -4 2bw'
_cell_length_a 9.5227
_cell_length_b 9.5227
_cell_length_c 6.3585
_cell_angle_alpha 90.00
_cell_angle_beta 90.00
_cell_angle_gamma 90.00
loop_
_atom_site_label
_atom_site_type_symbol
_atom_site_fract_x
_atom_site_fract_y
_atom_site_fract_z
Cs1 Cs 0.0000 0.0000 0.0000
Ba1 Ba 0.0000 0.0000 0.5000
Zr1 Zr 0.2298 0.2500 0.1250
```

Cs3BaZr | PBE-GGA | relaxed

Geometry as CIF:
```
data_Cs3BaZr
_symmetry_space_group_name_H-M 'P m -3 m'
_symmetry_Int_Tables_number 221
_symmetry_space_group_name_Hall '-P 4 2 3'
_cell_length_a 7.4135
_cell_length_b 7.4135
_cell_length_c 7.4135
_cell_angle_alpha 90.00
_cell_angle_beta 90.00
_cell_angle_gamma 90.00
loop_
_atom_site_label
_atom_site_type_symbol
_atom_site_fract_x
_atom_site_fract_y
_atom_site_fract_z
Cs1 Cs 0.0000 0.0000 0.5000
Ba1 Ba 0.5000 0.5000 0.5000
Zr1 Zr 0.0000 0.0000 0.0000
```

# CsBaZr3 (PBE-GGA, relaxed)
# distance to the lowest polymorph of the same formula: 148 meV/atom
data_CsBaZr3
_symmetry_space_group_name_H-M 'P m -3 m'
_symmetry_Int_Tables_number 221
_symmetry_space_group_name_Hall '-P 4 2 3'
_cell_length_a 5.6200
_cell_length_b 5.6200
_cell_length_c 5.6200
_cell_angle_alpha 90.00
_cell_angle_beta 90.00
_cell_angle_gamma 90.00
loop_
_atom_site_label
_atom_site_type_symbol
_atom_site_fract_x
_atom_site_fract_y
_atom_site_fract_z
Cs1 Cs 0.0000 0.0000 0.0000
Ba1 Ba 0.5000 0.5000 0.5000
Zr1 Zr 0.0000 0.5000 0.5000

CsBa2Zr | PBE-GGA | relaxed

Geometry as CIF:
```
data_CsBa2Zr
_symmetry_space_group_name_H-M 'F m -3 m'
_symmetry_Int_Tables_number 225
_symmetry_space_group_name_Hall '-F 4 2 3'
_cell_length_a 9.2683
_cell_length_b 9.2683
_cell_length_c 9.2683
_cell_angle_alpha 90.00
_cell_angle_beta 90.00
_cell_angle_gamma 90.00
loop_
_atom_site_label
_atom_site_type_symbol
_atom_site_fract_x
_atom_site_fract_y
_atom_site_fract_z
Cs1 Cs 0.0000 0.0000 0.0000
Ba1 Ba 0.2500 0.2500 0.2500
Zr1 Zr 0.0000 0.0000 0.5000
```

BaCu | PBE-GGA | relaxed

Geometry as CIF:
```
data_BaCu
_symmetry_space_group_name_H-M 'C 1 m 1'
_symmetry_Int_Tables_number 8
_cell_length_a 11.9027
_cell_length_b 4.5818
_cell_length_c 8.2219
_cell_angle_alpha 90.00
_cell_angle_beta 112.10
_cell_angle_gamma 90.00
loop_
_symmetry_equiv_pos_as_xyz
'x,y,z'
'x,-y,z'
'x+1/2,y+1/2,z'
'x+1/2,-y+1/2,z'
loop_
_atom_site_label
_atom_site_type_symbol
_atom_site_fract_x
_atom_site_fract_y
_atom_site_fract_z
Ba1 Ba 0.0000 0.0000 0.0000
Ba2 Ba 0.1364 0.5000 0.6905
Ba3 Ba 0.3120 0.5000 0.3458
Cu1 Cu 0.2998 0.0000 0.9946
Cu2 Cu 0.3445 0.0000 0.7112
Cu3 Cu 0.4862 0.0000 0.2658
```

BaCu2 | PBE-GGA | relaxed

Geometry as CIF:
```
data_BaCu2
_symmetry_space_group_name_H-M 'P 4/m m m'
_symmetry_Int_Tables_number 123
_symmetry_space_group_name_Hall '-P 4 2'
_cell_length_a 3.6022
_cell_length_b 3.6022
_cell_length_c 5.5591
_cell_angle_alpha 90.00
_cell_angle_beta 90.00
_cell_angle_gamma 90.00
loop_
_atom_site_label
_atom_site_type_symbol
_atom_site_fract_x
_atom_site_fract_y
_atom_site_fract_z
Ba1 Ba 0.0000 0.0000 0.0000
Cu1 Cu 0.0000 0.5000 0.5000
```

The evaluated DFT total energy for the records listed, in turn: -1.2959 -0.7653 -1.4274 -1.5177 -1.5474 -1.4665 -1.0320 -4.0094 -3.5503 -1.6191 -3.8611 -2.5420 -2.9650 -3.1096 eV per atom.
The evaluated density of states at the Fermi level for the records listed, in turn: 7.1 5.6 15.1 4.5 5.4 15.9 10.0 9.4 35.4 5.2 7.7 40.4 9.9 1.3 states/eV per cell.
The evaluated formation enthalpy at 0 K for the records listed, in turn: 0.05 0.81 0.07 -0.02 0.03 0.03 0.20 1.67 1.42 0.99 1.82 0.77 0.04 0.26 eV per atom.